(1)
{
  "formula": "Nd3SiS2",
  "functional": "PBE-GGA",
  "state": "optimized geometry",
  "formation_energy_uncorrected_ev_per_atom": -1.628,
  "vol_a3_per_fu": 151.8,
  "magmom_total_mub_per_cell": 0.0,
  "crystal_system": "orthorhombic",
  "lattice_angstrom": [[4.0330, -0.1238, -1.0450], [-0.4711, 5.3013, -2.4459], [-0.2896, 0.0487, 7.1747]],
  "species": ["Nd", "Nd", "Nd", "S", "S", "Si"],
  "fractional_positions": [[0.1665, 0.1664, 0.3328], [0.8335, 0.8336, 0.6672], [0.5000, 0.5000, 0.0000], [0.8338, 0.3341, 0.6682], [0.1662, 0.6659, 0.3318], [0.5000, 0.0000, 0.0000]]
}



(2)
{
  "formula": "Nd4Si3S12",
  "functional": "PBE-GGA",
  "state": "optimized geometry",
  "formation_energy_uncorrected_ev_per_atom": -1.412,
  "vol_a3_per_fu": 427.9,
  "magmom_total_mub_per_cell": 0.0,
  "crystal_system": "trigonal",
  "lattice_angstrom": [[-4.5065, -9.8881, 3.5926], [8.5891, -1.0825, -7.4863], [1.7683, 7.7409, 8.2426]],
  "species": ["S", "S", "S", "S", "S", "S", "S", "S", "S", "S", "S", "S", "S", "S", "S", "S", "S", "S", "S", "S", "S", "S", "S", "S", "Nd", "Nd", "Nd", "Nd", "Nd", "Nd", "Nd", "Nd", "Si", "Si", "Si", "Si", "Si", "Si"],
  "fractional_positions": [[0.1802, 0.1824, 0.3692], [0.5809, 0.1163, 0.8477], [0.8016, 0.0878, 0.1208], [0.0809, 0.3477, 0.6163], [0.6163, 0.0809, 0.3477], [0.5878, 0.3016, 0.6208], [0.8164, 0.8920, 0.2826], [0.6802, 0.8692, 0.6824], [0.1824, 0.3692, 0.1802], [0.1163, 0.8477, 0.5809], [0.8920, 0.2826, 0.8164], [0.0878, 0.1208, 0.8016], [0.3692, 0.1802, 0.1824], [0.7826, 0.3920, 0.3164], [0.1208, 0.8016, 0.0878], [0.6208, 0.5878, 0.3016], [0.8692, 0.6824, 0.6802], [0.2826, 0.8164, 0.8920], [0.8477, 0.5809, 0.1163], [0.3164, 0.7826, 0.3920], [0.3477, 0.6163, 0.0809], [0.3016, 0.6208, 0.5878], [0.3920, 0.3164, 0.7826], [0.6824, 0.6802, 0.8692], [0.2111, 0.9731, 0.4354], [0.9354, 0.4731, 0.7111], [0.4354, 0.2111, 0.9731], [0.7111, 0.9354, 0.4731], [0.9943, 0.9943, 0.9943], [0.9731, 0.4354, 0.2111], [0.4731, 0.7111, 0.9354], [0.4943, 0.4943, 0.4943], [0.8527, 0.6404, 0.4681], [0.6404, 0.4681, 0.8527], [0.3527, 0.9681, 0.1404], [0.1404, 0.3527, 0.9681], [0.4681, 0.8527, 0.6404], [0.9681, 0.1404, 0.3527]]
}



(3)
{
  "formula": "Nd5Si2S2",
  "functional": "PBE-GGA",
  "state": "optimized geometry",
  "formation_energy_uncorrected_ev_per_atom": -1.196,
  "vol_a3_per_fu": 221.0,
  "magmom_total_mub_per_cell": 0.0,
  "crystal_system": "orthorhombic",
  "lattice_angstrom": [[7.2424, 0.0000, 2.6289], [0.0000, 7.7893, 0.0000], [1.1081, 0.0000, 8.2376]],
  "species": ["Nd", "Nd", "Nd", "Nd", "Nd", "Nd", "Nd", "Nd", "Nd", "Nd", "Si", "Si", "Si", "Si", "S", "S", "S", "S"],
  "fractional_positions": [[0.5000, 0.5000, 0.0000], [0.0336, 0.6657, 0.2802], [0.9664, 0.3343, 0.7198], [0.0000, 0.0000, 0.0000], [0.3139, 0.6657, 0.7198], [0.5336, 0.8343, 0.2802], [0.4664, 0.1657, 0.7198], [0.6861, 0.3343, 0.2802], [0.8139, 0.8343, 0.7198], [0.1861, 0.1657, 0.2802], [0.3836, 0.8827, 0.0000], [0.1164, 0.3827, 0.0000], [0.6164, 0.1173, 0.0000], [0.8836, 0.6173, 0.0000], [0.3029, 0.5000, 0.3943], [0.6971, 0.5000, 0.6057], [0.1971, 0.0000, 0.6057], [0.8029, 0.0000, 0.3943]]
}



(4)
{
  "formula": "NdSmSiS",
  "functional": "PBE-GGA",
  "state": "optimized geometry",
  "formation_energy_uncorrected_ev_per_atom": -1.354,
  "vol_a3_per_fu": 101.7,
  "magmom_total_mub_per_cell": 0.0,
  "crystal_system": "trigonal",
  "lattice_angstrom": [[-1.7657, 3.7181, 0.4502], [-3.1130, 0.5023, 2.6836], [2.8712, 2.9458, 5.9736]],
  "species": ["Sm", "Si", "S", "Nd"],
  "fractional_positions": [[0.1939, 0.1939, 0.4183], [0.9430, 0.9430, 0.1710], [0.4454, 0.4454, 0.6638], [0.6941, 0.6941, 0.9176]]
}



(5)
{
  "formula": "TbNdSiS",
  "functional": "PBE-GGA",
  "state": "optimized geometry",
  "formation_energy_uncorrected_ev_per_atom": -1.356,
  "vol_a3_per_fu": 98.9,
  "magmom_total_mub_per_cell": 0.0,
  "crystal_system": "trigonal",
  "lattice_angstrom": [[-2.4128, -3.3034, 0.2925], [-0.2640, -2.6305, -3.1353], [4.2941, -5.5401, 1.6042]],
  "species": ["Nd", "Si", "Tb", "S"],
  "fractional_positions": [[0.6938, 0.6938, 0.9187], [0.9415, 0.9415, 0.1754], [0.1939, 0.1939, 0.4182], [0.4472, 0.4472, 0.6584]]
}



(6)
{
  "formula": "Nd6SiTe3S2",
  "functional": "PBE-GGA",
  "state": "optimized geometry",
  "formation_energy_uncorrected_ev_per_atom": -1.549,
  "vol_a3_per_fu": 343.6,
  "magmom_total_mub_per_cell": 0.0,
  "crystal_system": "monoclinic",
  "lattice_angstrom": [[4.2656, 0.0000, 0.0000], [0.0000, 8.7748, 0.1151], [-2.1328, -2.7310, 9.1428]],
  "species": ["Nd", "Nd", "Nd", "Nd", "Nd", "Nd", "Si", "S", "S", "Te", "Te", "Te"],
  "fractional_positions": [[0.0074, 0.2326, 0.0148], [0.6584, 0.1028, 0.3169], [0.6754, 0.5610, 0.3508], [0.3416, 0.8972, 0.6831], [0.9926, 0.7674, 0.9852], [0.3246, 0.4390, 0.6492], [0.5000, 0.0000, 0.0000], [0.1672, 0.3330, 0.3344], [0.8328, 0.6670, 0.6656], [0.5000, 0.5000, 0.0000], [0.1669, 0.8311, 0.3339], [0.8331, 0.1689, 0.6661]]
}



(7)
{
  "formula": "Nd6Si2Te3S",
  "functional": "PBE-GGA",
  "state": "optimized geometry",
  "formation_energy_uncorrected_ev_per_atom": -1.347,
  "vol_a3_per_fu": 353.6,
  "magmom_total_mub_per_cell": 0.0,
  "crystal_system": "monoclinic",
  "lattice_angstrom": [[-3.6053, -1.1013, 2.1035], [0.8137, -8.2976, -2.9495], [6.5897, 0.7896, 7.2785]],
  "species": ["Nd", "Nd", "Nd", "Nd", "Nd", "Nd", "Si", "Si", "Te", "Te", "Te", "S"],
  "fractional_positions": [[0.6609, 0.1009, 0.3218], [0.0086, 0.2339, 0.0171], [0.6727, 0.5670, 0.3454], [0.3391, 0.8991, 0.6782], [0.9914, 0.7661, 0.9829], [0.3273, 0.4330, 0.6546], [0.8344, 0.6697, 0.6687], [0.1656, 0.3303, 0.3313], [0.5000, 0.5000, 0.0000], [0.1656, 0.8338, 0.3312], [0.8344, 0.1662, 0.6688], [0.5000, 0.0000, 0.0000]]
}



(8)
{
  "formula": "NdThSiS",
  "functional": "PBE-GGA",
  "state": "optimized geometry",
  "formation_energy_uncorrected_ev_per_atom": -1.319,
  "vol_a3_per_fu": 103.5,
  "magmom_total_mub_per_cell": 0.0,
  "crystal_system": "trigonal",
  "lattice_angstrom": [[-2.2925, -2.3081, -2.6676], [1.3357, -0.6030, -3.9435], [2.9815, -6.5214, -0.2370]],
  "species": ["Nd", "Th", "Si", "S"],
  "fractional_positions": [[0.6948, 0.6948, 0.9157], [0.1935, 0.1935, 0.4196], [0.4455, 0.4455, 0.6635], [0.9427, 0.9427, 0.1719]]
}



(9)
{
  "formula": "NdSm4S5",
  "functional": "PBE-GGA",
  "state": "optimized geometry",
  "formation_energy_uncorrected_ev_per_atom": -2.020,
  "vol_a3_per_fu": 229.9,
  "magmom_total_mub_per_cell": 0.0,
  "crystal_system": "orthorhombic",
  "lattice_angstrom": [[-1.3777, -1.9991, 3.2061], [5.3265, -0.7060, 1.8486], [-2.6050, 9.9922, 2.5888]],
  "species": ["S", "S", "S", "S", "S", "Sm", "Sm", "Sm", "Sm", "Nd"],
  "fractional_positions": [[0.3981, 0.8981, 0.7963], [0.0000, 0.5000, 0.0000], [0.8003, 0.3003, 0.6006], [0.6019, 0.1019, 0.2037], [0.1997, 0.6997, 0.3994], [0.7993, 0.7993, 0.5986], [0.4001, 0.4001, 0.8002], [0.2007, 0.2007, 0.4014], [0.5999, 0.5999, 0.1998], [0.0000, 0.0000, 0.0000]]
}



(10)
{
  "formula": "NdSmS",
  "functional": "PBE-GGA",
  "state": "optimized geometry",
  "formation_energy_uncorrected_ev_per_atom": -1.252,
  "vol_a3_per_fu": 87.2,
  "magmom_total_mub_per_cell": 0.0,
  "crystal_system": "trigonal",
  "lattice_angstrom": [[-3.7816, 0.1085, -1.0306], [1.5313, -3.2859, 1.4939], [-1.5855, 2.0018, 6.0281]],
  "species": ["Sm", "Nd", "S"],
  "fractional_positions": [[0.0000, 0.0000, 0.9234], [0.6667, 0.3333, 0.4064], [0.3333, 0.6667, 0.6702]]
}



(11)
{
  "formula": "Nd5SmS6",
  "functional": "PBE-GGA",
  "state": "optimized geometry",
  "formation_energy_uncorrected_ev_per_atom": -2.028,
  "vol_a3_per_fu": 283.7,
  "magmom_total_mub_per_cell": 0.0,
  "crystal_system": "monoclinic",
  "lattice_angstrom": [[-1.5402, 1.8630, 6.5941], [-5.6572, -3.5434, 2.2007], [0.7777, -6.2248, 3.2008]],
  "species": ["S", "S", "S", "S", "S", "S", "Nd", "Nd", "Nd", "Nd", "Nd", "Sm"],
  "fractional_positions": [[0.2478, 0.9174, 0.6699], [0.2478, 0.5873, 0.3301], [0.7522, 0.4127, 0.6699], [0.7522, 0.0826, 0.3301], [0.2488, 0.2473, 0.0000], [0.7512, 0.7527, 0.0000], [0.0000, 0.3330, 0.3340], [0.5000, 0.1681, 0.6639], [0.5000, 0.5000, 0.0000], [0.0000, 0.6670, 0.6660], [0.5000, 0.8319, 0.3361], [0.0000, 0.0000, 0.0000]]
}



(12)
{
  "formula": "Nd2SmS4",
  "functional": "PBE-GGA",
  "state": "optimized geometry",
  "formation_energy_uncorrected_ev_per_atom": -2.020,
  "vol_a3_per_fu": 187.5,
  "magmom_total_mub_per_cell": 0.0,
  "crystal_system": "orthorhombic",
  "lattice_angstrom": [[7.0207, 0.0000, 4.0466], [2.4168, 6.6297, 3.9206], [0.0237, 0.0056, 8.0725]],
  "species": ["Nd", "Nd", "Nd", "Nd", "S", "S", "S", "S", "S", "S", "S", "S", "Sm", "Sm"],
  "fractional_positions": [[0.5000, 0.0000, 0.5000], [0.0000, 0.5000, 0.5000], [0.0000, 0.0000, 0.5000], [0.0000, 0.0000, 0.0000], [0.7481, 0.7488, 0.7550], [0.2519, 0.7450, 0.7512], [0.2397, 0.2516, 0.7516], [0.7603, 0.7484, 0.2484], [0.2519, 0.2512, 0.2450], [0.2428, 0.7484, 0.2484], [0.7481, 0.2550, 0.2488], [0.7572, 0.2516, 0.7516], [0.0000, 0.5000, 0.0000], [0.5000, 0.5000, 0.0000]]
}



(13)
{
  "formula": "NdSm3S4",
  "functional": "PBE-GGA",
  "state": "optimized geometry",
  "formation_energy_uncorrected_ev_per_atom": -2.020,
  "vol_a3_per_fu": 184.4,
  "magmom_total_mub_per_cell": 0.0,
  "crystal_system": "tetragonal",
  "lattice_angstrom": [[5.2009, 0.0045, -2.3054], [-1.0265, 5.0987, -2.3053], [-0.0198, -0.0243, 6.9744]],
  "species": ["Sm", "Sm", "Sm", "S", "S", "S", "S", "Nd"],
  "fractional_positions": [[0.5000, 0.5000, 0.0000], [0.7500, 0.2500, 0.5000], [0.2500, 0.7500, 0.5000], [0.5000, 0.0000, 0.0000], [0.2519, 0.2519, 0.5038], [0.7481, 0.7481, 0.4962], [0.0000, 0.5000, 0.0000], [0.0000, 0.0000, 0.0000]]
}



(14)
{
  "formula": "Nd2Sm3S4",
  "functional": "PBE-GGA",
  "state": "optimized geometry",
  "formation_energy_uncorrected_ev_per_atom": -1.783,
  "vol_a3_per_fu": 227.5,
  "magmom_total_mub_per_cell": 0.0,
  "crystal_system": "monoclinic",
  "lattice_angstrom": [[3.8962, 0.0000, 0.9584], [1.7196, 6.5875, 1.4079], [-0.1292, 0.6241, 8.9239]],
  "species": ["Sm", "Sm", "Sm", "S", "S", "S", "S", "Nd", "Nd"],
  "fractional_positions": [[0.7964, 0.6049, 0.8022], [0.2036, 0.3951, 0.1978], [0.0000, 0.0000, 0.0000], [0.7996, 0.1021, 0.2988], [0.3979, 0.3023, 0.9019], [0.2004, 0.8979, 0.7012], [0.6021, 0.6977, 0.0981], [0.6010, 0.1957, 0.6024], [0.3990, 0.8043, 0.3976]]
}



(15)
{
  "formula": "NdSm3S6",
  "functional": "PBE-GGA",
  "state": "optimized geometry",
  "formation_energy_uncorrected_ev_per_atom": -2.024,
  "vol_a3_per_fu": 275.8,
  "magmom_total_mub_per_cell": 0.0,
  "crystal_system": "trigonal",
  "lattice_angstrom": [[-1.5791, -4.7486, 5.0683], [5.2211, -3.4772, 3.3735], [1.4432, 1.8005, 7.1412]],
  "species": ["Nd", "S", "S", "S", "S", "S", "S", "Sm", "Sm", "Sm"],
  "fractional_positions": [[0.8542, 0.8542, 0.4373], [0.0474, 0.4506, 0.7515], [0.4506, 0.7505, 0.7515], [0.9515, 0.5417, 0.2507], [0.5417, 0.2561, 0.2507], [0.2561, 0.9515, 0.2507], [0.7505, 0.0474, 0.7515], [0.6483, 0.6483, 0.0551], [0.1472, 0.1472, 0.5584], [0.3525, 0.3525, 0.9425]]
}



(16)
{
  "formula": "Nd6SmS8",
  "functional": "PBE-GGA",
  "state": "optimized geometry",
  "formation_energy_uncorrected_ev_per_atom": -2.045,
  "vol_a3_per_fu": 378.3,
  "magmom_total_mub_per_cell": 0.0,
  "crystal_system": "cubic",
  "lattice_angstrom": [[-0.5112, 3.5752, 7.2700], [-6.4436, -1.3581, 4.7469], [0.7995, -4.4198, 6.7619]],
  "species": ["S", "S", "S", "S", "S", "S", "S", "S", "Sm", "Nd", "Nd", "Nd", "Nd", "Nd", "Nd"],
  "fractional_positions": [[0.2473, 0.7527, 0.2473], [0.7500, 0.7500, 0.7500], [0.2473, 0.7527, 0.7527], [0.2473, 0.2473, 0.7527], [0.7527, 0.2473, 0.2473], [0.7527, 0.2473, 0.7527], [0.7527, 0.7527, 0.2473], [0.2500, 0.2500, 0.2500], [0.0000, 0.0000, 0.0000], [0.0000, 0.0000, 0.5000], [0.5000, 0.0000, 0.0000], [0.5000, 0.0000, 0.5000], [0.0000, 0.5000, 0.5000], [0.0000, 0.5000, 0.0000], [0.5000, 0.5000, 0.0000]]
}



(17)
{
  "formula": "NdSm3S4",
  "functional": "PBE-GGA",
  "state": "optimized geometry",
  "formation_energy_uncorrected_ev_per_atom": -2.013,
  "vol_a3_per_fu": 184.5,
  "magmom_total_mub_per_cell": 0.0,
  "crystal_system": "cubic",
  "lattice_angstrom": [[5.6927, 0.0000, 0.0000], [0.0000, 5.6927, 0.0000], [0.0000, 0.0000, 5.6927]],
  "species": ["Nd", "S", "S", "S", "S", "Sm", "Sm", "Sm"],
  "fractional_positions": [[0.0000, 0.0000, 0.0000], [0.5000, 0.5000, 0.5000], [0.5000, 0.0000, 0.0000], [0.0000, 0.5000, 0.0000], [0.0000, 0.0000, 0.5000], [0.0000, 0.5000, 0.5000], [0.5000, 0.0000, 0.5000], [0.5000, 0.5000, 0.0000]]
}



(18)
{
  "formula": "Nd2SmS4",
  "functional": "PBE-GGA",
  "state": "optimized geometry",
  "formation_energy_uncorrected_ev_per_atom": -2.016,
  "vol_a3_per_fu": 156.5,
  "magmom_total_mub_per_cell": 0.0,
  "crystal_system": "tetragonal",
  "lattice_angstrom": [[-5.5262, 4.9305, -0.2131], [-1.2172, -5.1842, -5.1514], [0.2972, -3.1453, 6.7017]],
  "species": ["S", "S", "S", "S", "S", "S", "S", "S", "Nd", "Nd", "Nd", "Nd", "Sm", "Sm"],
  "fractional_positions": [[0.6267, 0.8792, 0.1048], [0.6292, 0.8767, 0.6048], [0.2718, 0.0244, 0.3952], [0.9756, 0.3708, 0.2474], [0.4782, 0.3733, 0.2526], [0.7744, 0.5218, 0.8952], [0.1208, 0.2256, 0.7474], [0.1233, 0.7282, 0.7526], [0.2577, 0.6250, 0.1327], [0.8750, 0.7423, 0.3673], [0.4923, 0.1250, 0.8673], [0.3750, 0.5077, 0.6327], [0.7500, 0.2500, 0.5000], [0.0000, 0.0000, 0.0000]]
}



(19)
{
  "formula": "Nd2Sm3S8",
  "functional": "PBE-GGA",
  "state": "optimized geometry",
  "formation_energy_uncorrected_ev_per_atom": -1.852,
  "vol_a3_per_fu": 370.2,
  "magmom_total_mub_per_cell": 0.0,
  "crystal_system": "monoclinic",
  "lattice_angstrom": [[-1.0874, -4.1615, -5.3610], [7.8201, -2.4270, 0.2978], [-5.1854, -2.1575, 5.8696]],
  "species": ["S", "S", "S", "S", "S", "S", "S", "S", "Sm", "Sm", "Sm", "Nd", "Nd"],
  "fractional_positions": [[0.4140, 0.3546, 0.2480], [0.9307, 0.1156, 0.2312], [0.0808, 0.3792, 0.7585], [0.4140, 0.8934, 0.2480], [0.9192, 0.6208, 0.2415], [0.0693, 0.8844, 0.7688], [0.5860, 0.1066, 0.7520], [0.5860, 0.6454, 0.7520], [0.5000, 0.0000, 0.0000], [0.0000, 0.2633, 0.0000], [0.0000, 0.7367, 0.0000], [0.3455, 0.2655, 0.5311], [0.6545, 0.7345, 0.4689]]
}



(20)
{
  "formula": "NdSm4S6",
  "functional": "PBE-GGA",
  "state": "optimized geometry",
  "formation_energy_uncorrected_ev_per_atom": -2.043,
  "vol_a3_per_fu": 264.0,
  "magmom_total_mub_per_cell": 0.0,
  "crystal_system": "orthorhombic",
  "lattice_angstrom": [[-1.9731, 3.3237, -0.7863], [-4.7005, -4.6987, 1.8278], [1.8516, 5.6803, 19.3637]],
  "species": ["S", "S", "S", "S", "S", "S", "S", "S", "S", "S", "S", "S", "Sm", "Sm", "Sm", "Sm", "Sm", "Sm", "Sm", "Sm", "Nd", "Nd"],
  "fractional_positions": [[0.9498, 0.8996, 0.8326], [0.5000, 0.0000, 0.5000], [0.2308, 0.4617, 0.5900], [0.2308, 0.4617, 0.9100], [0.3088, 0.6175, 0.2500], [0.9498, 0.8996, 0.6674], [0.5000, 0.0000, 0.0000], [0.7692, 0.5383, 0.0900], [0.0502, 0.1004, 0.1674], [0.6912, 0.3825, 0.7500], [0.0502, 0.1004, 0.3326], [0.7692, 0.5383, 0.4100], [0.4086, 0.8173, 0.1281], [0.8609, 0.7218, 0.5401], [0.4086, 0.8173, 0.3719], [0.5914, 0.1827, 0.6281], [0.1391, 0.2782, 0.0401], [0.1391, 0.2782, 0.4599], [0.8609, 0.7218, 0.9599], [0.5914, 0.1827, 0.8719], [0.6538, 0.3077, 0.2500], [0.3462, 0.6923, 0.7500]]
}